# AlIn2P PBE relaxed
data_AlIn2P
_chemical_formula_sum 'Al1 In2 P1'
_cell_length_a 4.9826
_cell_length_b 4.9826
_cell_length_c 4.9826
_cell_angle_alpha 60.00
_cell_angle_beta 60.00
_cell_angle_gamma 60.00
_symmetry_space_group_name_H-M 'P 1'
_symmetry_Int_Tables_number 1
loop_
_symmetry_equiv_pos_as_xyz
'x,y,z'
loop_
_atom_site_label
_atom_site_fract_x
_atom_site_fract_y
_atom_site_fract_z
In1 0.7500 0.7500 0.7500
In2 0.2500 0.2500 0.2500
P1 0.5000 0.5000 0.5000
Al1 0.0000 0.0000 0.0000
# calculated density	5.5	g cm⁻³
# total DFT energy (no corrections)	-3.335	eV/atom
# crystal system	cubic
# total magnetization	0.000	μB per cell
# DFT formation energy	323	meV per atom
# volume	87	Å³/cell
# ΔE to the lowest computed polymorph	1.42	eV/f.u.
# symmetry	No. 225

---

# Al2InP PBE relaxed
data_Al2InP
_chemical_formula_sum 'Al2 In1 P1'
_cell_length_a 3.2410
_cell_length_b 3.2453
_cell_length_c 7.8524
_cell_angle_alpha 65.54
_cell_angle_beta 90.00
_cell_angle_gamma 90.00
_symmetry_space_group_name_H-M 'P 1'
_symmetry_Int_Tables_number 1
loop_
_symmetry_equiv_pos_as_xyz
'x,y,z'
loop_
_atom_site_label
_atom_site_fract_x
_atom_site_fract_y
_atom_site_fract_z
Al1 0.0000 0.4365 0.5608
Al2 0.0000 0.0635 0.9392
In1 0.5000 0.2500 0.2500
P1 0.5000 0.7500 0.7500
# calculated density	4.4	g cm⁻³
# total DFT energy (no corrections)	-3.836	eV/atom
# crystal system	monoclinic
# total magnetization	0.000	μB per cell
# DFT formation energy	72	meV per atom
# volume	75	Å³/cell
# ΔE to the lowest computed polymorph	0.69	eV/f.u.
# symmetry	No. 10

---

# AlIn2P4 PBE relaxed
data_AlIn2P4
_chemical_formula_sum 'Al1 In2 P4'
_cell_length_a 4.6708
_cell_length_b 4.6708
_cell_length_c 8.1225
_cell_angle_alpha 73.29
_cell_angle_beta 73.29
_cell_angle_gamma 90.00
_symmetry_space_group_name_H-M 'P 1'
_symmetry_Int_Tables_number 1
loop_
_symmetry_equiv_pos_as_xyz
'x,y,z'
loop_
_atom_site_label
_atom_site_fract_x
_atom_site_fract_y
_atom_site_fract_z
P1 0.7719 0.7719 0.4562
P2 0.5000 0.0000 0.0000
P3 0.2281 0.2281 0.5438
P4 0.0000 0.5000 0.0000
In1 0.3932 0.3932 0.2136
In2 0.6068 0.6068 0.7864
Al1 0.0000 0.0000 0.0000
# calculated density	3.9	g cm⁻³
# total DFT energy (no corrections)	-3.956	eV/atom
# crystal system	tetragonal
# total magnetization	0.000	μB per cell
# DFT formation energy	453	meV per atom
# volume	162	Å³/cell
# symmetry	No. 139

---

# AlInP2 PBE relaxed
data_AlInP2
_chemical_formula_sum 'Al1 In1 P2'
_cell_length_a 4.5501
_cell_length_b 4.5703
_cell_length_c 3.4470
_cell_angle_alpha 90.00
_cell_angle_beta 90.00
_cell_angle_gamma 90.00
_symmetry_space_group_name_H-M 'P 1'
_symmetry_Int_Tables_number 1
loop_
_symmetry_equiv_pos_as_xyz
'x,y,z'
loop_
_atom_site_label
_atom_site_fract_x
_atom_site_fract_y
_atom_site_fract_z
P1 0.0000 0.0000 0.0000
P2 0.5000 0.5000 0.0000
In1 0.0000 0.5000 0.5000
Al1 0.5000 0.0000 0.5000
# calculated density	4.7	g cm⁻³
# total DFT energy (no corrections)	-3.980	eV/atom
# crystal system	orthorhombic
# total magnetization	0.000	μB per cell
# DFT formation energy	345	meV per atom
# volume	72	Å³/cell
# ΔE to the lowest computed polymorph	3.03	eV/f.u.
# symmetry	No. 47

---

# AlInP2 PBE relaxed
data_AlInP2
_chemical_formula_sum 'Al1 In1 P2'
_cell_length_a 7.3345
_cell_length_b 7.3345
_cell_length_c 7.3345
_cell_angle_alpha 27.79
_cell_angle_beta 27.79
_cell_angle_gamma 27.79
_symmetry_space_group_name_H-M 'P 1'
_symmetry_Int_Tables_number 1
loop_
_symmetry_equiv_pos_as_xyz
'x,y,z'
loop_
_atom_site_label
_atom_site_fract_x
_atom_site_fract_y
_atom_site_fract_z
In1 0.7460 0.7460 0.7460
P1 0.2540 0.2540 0.2540
P2 0.9851 0.9851 0.9851
Al1 0.5149 0.5149 0.5149
# calculated density	4.5	g cm⁻³
# total DFT energy (no corrections)	-4.201	eV/atom
# crystal system	trigonal
# total magnetization	0.000	μB per cell
# DFT formation energy	125	meV per atom
# volume	76	Å³/cell
# ΔE to the lowest computed polymorph	2.14	eV/f.u.
# symmetry	No. 160

---

# AlInP2 PBE relaxed
data_AlInP2
_chemical_formula_sum 'Al1 In1 P2'
_cell_length_a 4.7102
_cell_length_b 4.7102
_cell_length_c 4.7102
_cell_angle_alpha 60.00
_cell_angle_beta 60.00
_cell_angle_gamma 60.00
_symmetry_space_group_name_H-M 'P 1'
_symmetry_Int_Tables_number 1
loop_
_symmetry_equiv_pos_as_xyz
'x,y,z'
loop_
_atom_site_label
_atom_site_fract_x
_atom_site_fract_y
_atom_site_fract_z
P1 0.7500 0.7500 0.7500
P2 0.0000 0.0000 0.0000
In1 0.2500 0.2500 0.2500
Al1 0.5000 0.5000 0.5000
# calculated density	4.6	g cm⁻³
# total DFT energy (no corrections)	-3.831	eV/atom
# crystal system	cubic
# total magnetization	0.000	μB per cell
# DFT formation energy	494	meV per atom
# volume	74	Å³/cell
# ΔE to the lowest computed polymorph	3.62	eV/f.u.
# symmetry	No. 216

---

# AlIn2P PBE relaxed
data_AlIn2P
_chemical_formula_sum 'Al1 In2 P1'
_cell_length_a 3.4335
_cell_length_b 3.4334
_cell_length_c 7.3606
_cell_angle_alpha 90.00
_cell_angle_beta 90.00
_cell_angle_gamma 90.00
_symmetry_space_group_name_H-M 'P 1'
_symmetry_Int_Tables_number 1
loop_
_symmetry_equiv_pos_as_xyz
'x,y,z'
loop_
_atom_site_label
_atom_site_fract_x
_atom_site_fract_y
_atom_site_fract_z
In1 0.0000 0.0000 0.0242
In2 0.0000 0.0000 0.4758
Al1 0.5000 0.5000 0.7500
P1 0.5000 0.5000 0.2500
# calculated density	5.5	g cm⁻³
# total DFT energy (no corrections)	-3.405	eV/atom
# crystal system	tetragonal
# total magnetization	0.000	μB per cell
# DFT formation energy	253	meV per atom
# volume	87	Å³/cell
# ΔE to the lowest computed polymorph	1.14	eV/f.u.
# symmetry	No. 123

---

# AlIn2P PBE relaxed
data_AlIn2P
_chemical_formula_sum 'Al1 In2 P1'
_cell_length_a 3.8965
_cell_length_b 2.9106
_cell_length_c 7.7365
_cell_angle_alpha 90.01
_cell_angle_beta 90.00
_cell_angle_gamma 90.00
_symmetry_space_group_name_H-M 'P 1'
_symmetry_Int_Tables_number 1
loop_
_symmetry_equiv_pos_as_xyz
'x,y,z'
loop_
_atom_site_label
_atom_site_fract_x
_atom_site_fract_y
_atom_site_fract_z
P1 0.5000 0.2500 0.2500
Al1 0.5000 0.7500 0.7500
In1 0.0000 0.2513 0.4981
In2 0.0000 0.2487 0.0019
# calculated density	5.4	g cm⁻³
# total DFT energy (no corrections)	-3.456	eV/atom
# crystal system	orthorhombic
# total magnetization	0.000	μB per cell
# DFT formation energy	201	meV per atom
# volume	88	Å³/cell
# ΔE to the lowest computed polymorph	0.94	eV/f.u.
# symmetry	No. 47

---

# AlIn2P PBE relaxed
data_AlIn2P
_chemical_formula_sum 'Al1 In2 P1'
_cell_length_a 5.2911
_cell_length_b 5.2911
_cell_length_c 5.6786
_cell_angle_alpha 65.07
_cell_angle_beta 65.07
_cell_angle_gamma 39.61
_symmetry_space_group_name_H-M 'P 1'
_symmetry_Int_Tables_number 1
loop_
_symmetry_equiv_pos_as_xyz
'x,y,z'
loop_
_atom_site_label
_atom_site_fract_x
_atom_site_fract_y
_atom_site_fract_z
P1 0.5647 0.5647 0.5425
In1 0.7952 0.7952 0.6895
In2 0.9593 0.9593 0.0353
Al1 0.1808 0.1808 0.2328
# calculated density	5.3	g cm⁻³
# total DFT energy (no corrections)	-3.590	eV/atom
# crystal system	monoclinic
# total magnetization	0.000	μB per cell
# DFT formation energy	67	meV per atom
# volume	91	Å³/cell
# ΔE to the lowest computed polymorph	0.40	eV/f.u.
# symmetry	No. 8

---

# AlInP2 PBE relaxed
data_AlInP2
_chemical_formula_sum 'Al1 In1 P2'
_cell_length_a 4.5505
_cell_length_b 4.5505
_cell_length_c 3.4914
_cell_angle_alpha 90.00
_cell_angle_beta 90.00
_cell_angle_gamma 82.33
_symmetry_space_group_name_H-M 'P 1'
_symmetry_Int_Tables_number 1
loop_
_symmetry_equiv_pos_as_xyz
'x,y,z'
loop_
_atom_site_label
_atom_site_fract_x
_atom_site_fract_y
_atom_site_fract_z
P1 0.0000 0.0000 0.0000
P2 0.5000 0.5000 0.0000
In1 0.0000 0.5000 0.5000
Al1 0.5000 0.0000 0.5000
# calculated density	4.7	g cm⁻³
# total DFT energy (no corrections)	-3.992	eV/atom
# crystal system	orthorhombic
# total magnetization	0.000	μB per cell
# DFT formation energy	334	meV per atom
# volume	72	Å³/cell
# ΔE to the lowest computed polymorph	2.98	eV/f.u.
# symmetry	No. 65

---

# AlIn2P PBE relaxed
data_AlIn2P
_chemical_formula_sum 'Al1 In2 P1'
_cell_length_a 3.8613
_cell_length_b 3.8613
_cell_length_c 7.4575
_cell_angle_alpha 75.47
_cell_angle_beta 75.47
_cell_angle_gamma 59.77
_symmetry_space_group_name_H-M 'P 1'
_symmetry_Int_Tables_number 1
loop_
_symmetry_equiv_pos_as_xyz
'x,y,z'
loop_
_atom_site_label
_atom_site_fract_x
_atom_site_fract_y
_atom_site_fract_z
In1 0.4896 0.4896 0.5284
In2 0.0104 0.0104 0.9716
Al1 0.2500 0.2500 0.2500
P1 0.7500 0.7500 0.7500
# calculated density	5.2	g cm⁻³
# total DFT energy (no corrections)	-3.533	eV/atom
# crystal system	monoclinic
# total magnetization	0.000	μB per cell
# DFT formation energy	124	meV per atom
# volume	92	Å³/cell
# ΔE to the lowest computed polymorph	0.63	eV/f.u.
# symmetry	No. 12

---

# AlIn2P PBE relaxed
data_AlIn2P
_chemical_formula_sum 'Al1 In2 P1'
_cell_length_a 4.0216
_cell_length_b 4.7710
_cell_length_c 4.5214
_cell_angle_alpha 90.00
_cell_angle_beta 90.00
_cell_angle_gamma 90.00
_symmetry_space_group_name_H-M 'P 1'
_symmetry_Int_Tables_number 1
loop_
_symmetry_equiv_pos_as_xyz
'x,y,z'
loop_
_atom_site_label
_atom_site_fract_x
_atom_site_fract_y
_atom_site_fract_z
P1 0.5000 0.0000 0.5000
Al1 0.0000 0.5000 0.5000
In1 0.0000 0.0000 0.0000
In2 0.5000 0.5000 0.0000
# calculated density	5.5	g cm⁻³
# total DFT energy (no corrections)	-3.371	eV/atom
# crystal system	orthorhombic
# total magnetization	0.000	μB per cell
# DFT formation energy	286	meV per atom
# volume	87	Å³/cell
# ΔE to the lowest computed polymorph	1.28	eV/f.u.
# symmetry	No. 47